Record 1
The following is a DFT calculation (GGA-PBE) of a relaxed Ta2Nb2Te7 crystal.

Lattice parameters (Å, degrees): 7.376 7.247 7.247 112.36 88.10 88.10
Fractional coordinates of all 11 atoms:
1 Ta 0.500 0.375 0.625
2 Ta 0.500 0.625 0.375
3 Nb 0.842 0.304 0.304
4 Nb 0.158 0.696 0.696
5 Te 0.294 0.974 0.575
6 Te 0.706 0.425 0.026
7 Te 0.706 0.026 0.425
8 Te 0.294 0.575 0.974
9 Te 0.000 0.000 0.000
10 Te 0.759 0.651 0.651
11 Te 0.241 0.349 0.349

## Properties
Symmetry: C2/m, No. 12
Total magnetization (Bohr magnetons per cell): 0.00
N(E_F) (states/eV per cell): 6.05
Final energy (eV per atom): -6.0138



Record 2
The following is a DFT calculation (GGA-PBE) of a relaxed Tb9Pr11Y4 crystal.

Lattice parameters (Å, degrees): 3.686 15.608 15.608 113.25 90.00 90.00
Fractional coordinates of all 24 atoms:
1 Tb 0.500 0.630 0.166
2 Tb 0.500 0.370 0.834
3 Tb 0.500 0.166 0.630
4 Tb 0.500 0.834 0.370
5 Tb 0.500 0.787 0.933
6 Tb 0.500 0.213 0.067
7 Tb 0.500 0.933 0.787
8 Tb 0.500 0.067 0.213
9 Tb 0.500 0.500 0.500
10 Pr 0.000 0.597 0.959
11 Pr 0.000 0.403 0.041
12 Pr 0.000 0.959 0.597
13 Pr 0.000 0.041 0.403
14 Pr 0.000 0.632 0.368
15 Pr 0.000 0.368 0.632
16 Pr 0.000 0.839 0.161
17 Pr 0.000 0.161 0.839
18 Pr 0.000 0.000 0.000
19 Pr 0.000 0.709 0.709
20 Pr 0.000 0.291 0.291
21 Y 0.500 0.556 0.760
22 Y 0.500 0.444 0.240
23 Y 0.500 0.760 0.556
24 Y 0.500 0.240 0.444

## Properties
Formation energy (meV per atom): 62
Symmetry: Cmmm, No. 65
Total magnetization (Bohr magnetons per cell): 0.00
N(E_F) (states/eV per cell): 31.06
Final energy (eV per atom): -4.9420



Record 3
The following is a DFT calculation (GGA-PBE) of a relaxed MnTlTe crystal.

Lattice parameters (Å, degrees): 4.616 4.616 4.759 90.00 90.00 120.00
Fractional coordinates of all 3 atoms:
1 Mn 0.000 0.000 0.164
2 Te 0.667 0.333 0.168
3 Tl 0.333 0.667 0.668

## Properties
Symmetry: P3m1, No. 156
Total magnetization (Bohr magnetons per cell): 4.08
N(E_F) (states/eV per cell): 1.48
Final energy (eV per atom): -4.8164



Record 4
The following is a DFT calculation (GGA-PBE) of a relaxed ZrTaRu2 crystal.

Lattice parameters (Å, degrees): 4.551 4.551 4.551 60.00 60.00 60.00
Fractional coordinates of all 4 atoms:
1 Ru 0.000 0.000 0.000
2 Ru 0.250 0.250 0.250
3 Ta 0.500 0.500 0.500
4 Zr 0.750 0.750 0.750

## Properties
Formation energy (meV per atom): -27
Symmetry: F-43m, No. 216
Total magnetization (Bohr magnetons per cell): 1.35
N(E_F) (states/eV per cell): 4.67
Final energy (eV per atom): -9.7650



Record 5
The following is a DFT calculation (GGA-PBE) of a relaxed LaNd2S3 crystal.

Lattice parameters (Å, degrees): 4.102 5.797 7.095 114.11 106.80 90.00
Fractional coordinates of all 6 atoms:
1 La 0.500 0.500 0.500
2 Nd 0.833 0.833 0.165
3 Nd 0.167 0.167 0.835
4 S 0.831 0.331 0.163
5 S 0.169 0.669 0.837
6 S 0.500 0.000 0.500

## Properties
Symmetry: Immm, No. 71
Total magnetization (Bohr magnetons per cell): 0.00
N(E_F) (states/eV per cell): 2.96
Final energy (eV per atom): -6.5475



Record 6
The following is a DFT calculation (GGA-PBE) of a relaxed Li2PmCd6 crystal.

Lattice parameters (Å, degrees): 6.026 6.026 7.726 90.00 90.00 120.00
Fractional coordinates of all 9 atoms:
1 Li 0.333 0.667 0.500
2 Li 0.667 0.333 0.500
3 Pm 0.000 0.000 0.000
4 Cd 0.500 0.000 0.196
5 Cd 0.500 0.500 0.196
6 Cd 0.000 0.500 0.196
7 Cd 0.500 0.500 0.804
8 Cd 0.000 0.500 0.804
9 Cd 0.500 0.000 0.804

## Properties
Formation energy (meV per atom): -42
Symmetry: P6/mmm, No. 191
Total magnetization (Bohr magnetons per cell): 0.00
N(E_F) (states/eV per cell): 5.16
Final energy (eV per atom): -1.6057